# 1
Density functional theory data (PBE-GGA) for a relaxed structure of Sr2DyAlS5.

Cell: 3.954 17.751 12.463 Å, 90.00 90.00 90.00°
Space group Cmc2_1 (No. 36)
Inequivalent atoms, fractional coordinates:
1 Sr 0.000 0.115 0.000 [4 per cell]
2 Sr 0.000 0.125 0.645 [4 per cell]
3 Dy 0.000 0.207 0.347 [4 per cell]
4 Al 0.000 0.443 0.748 [4 per cell]
5 S 0.000 0.044 0.347 [4 per cell]
6 S 0.000 0.294 0.994 [4 per cell]
7 S 0.000 0.319 0.693 [4 per cell]
8 S 0.000 0.355 0.325 [4 per cell]
9 S 0.000 0.498 0.092 [4 per cell]

Results
* energy relative to the elements, uncorrected: -16.74 eV per formula unit
* crystal system: orthorhombic
* mass density: 3.99 g/cm3
* size of the total moment: 0.00 μB per cell
* uncorrected energy: -5.4536 eV per atom


# 2
Density functional theory data (PBE-GGA) for a relaxed structure of ThMgNi2Ge2.

Cell: 4.1825 4.1825 6.8816 Å, 90.00 90.00 120.00°
Space group P-3m1 (No. 164)
Inequivalent atoms, fractional coordinates:
1 Th 0.0000 0.0000 0.0000 [1 per cell]
2 Mg 0.0000 0.0000 0.5000 [1 per cell]
3 Ni 0.3333 0.6667 0.6796 [2 per cell]
4 Ge 0.3333 0.6667 0.2842 [2 per cell]

Results
* crystal system: trigonal
* energy of formation: -594 meV/atom
* mass density: 8.27 g/cm3
* size of the total moment: 0.00 μB per cell
* uncorrected energy: -5.5622 eV per atom


# 3
Density functional theory data (PBE-GGA) for a relaxed structure of Ga2PC2.

Cell: 3.079 3.079 12.970 Å, 90.00 90.00 90.00°
Space group I4/mmm (No. 139)
Inequivalent atoms, fractional coordinates:
1 Ga 0.000 0.000 0.130 [4 per cell]
2 P 0.000 0.000 0.500 [2 per cell]
3 C 0.000 0.500 0.250 [4 per cell]

Results
* crystal system: tetragonal
* energy of formation: 1478 meV/atom
* mass density: 5.25 g/cm3
* size of the total moment: 0.00 μB per cell
* offset from the most stable computed form: 811.4 meV per atom
* uncorrected energy: -4.5039 eV per atom


# 4
Density functional theory data (PBE-GGA) for a relaxed structure of KPd3S.

Cell: 4.963 4.963 4.963 Å, 90.00 90.00 90.00°
Space group Pm-3m (No. 221)
Inequivalent atoms, fractional coordinates:
1 K 0.000 0.000 0.000 [1 per cell]
2 Pd 0.000 0.000 0.500 [3 per cell]
3 S 0.500 0.500 0.500 [1 per cell]

Results
* energy relative to the elements, uncorrected: 7.75 eV per formula unit
* crystal system: cubic
* mass density: 5.30 g/cm3
* size of the total moment: 0.00 μB per cell
* offset from the most stable computed form: 1783.5 meV per atom
* uncorrected energy: -2.6098 eV per atom


# 5
Density functional theory data (PBE-GGA) for a relaxed structure of TbAl3Au2.

Cell: 16.842 4.215 10.154 Å, 90.00 105.23 90.00°
Space group C2/m (No. 12)
Inequivalent atoms, fractional coordinates:
1 Tb 0.000 0.000 0.000 [2 per cell]
2 Tb 0.158 0.000 0.706 [4 per cell]
3 Al 0.000 0.500 0.500 [2 per cell]
4 Al 0.042 0.000 0.359 [4 per cell]
5 Al 0.126 0.500 0.197 [4 per cell]
6 Al 0.167 0.500 0.958 [4 per cell]
7 Al 0.213 0.000 0.379 [4 per cell]
8 Au 0.027 0.500 0.782 [4 per cell]
9 Au 0.146 0.500 0.462 [4 per cell]
10 Au 0.198 0.000 0.118 [4 per cell]

Results
* crystal system: monoclinic
* energy of formation: -630 meV/atom
* mass density: 9.08 g/cm3
* size of the total moment: 0.00 μB per cell
* uncorrected energy: -4.3654 eV per atom


# 6
Density functional theory data (PBE-GGA) for a relaxed structure of Ba2AlHg.

Cell: 5.122 5.122 10.566 Å, 90.00 90.00 90.00°
Space group I-4m2 (No. 119)
Inequivalent atoms, fractional coordinates:
1 Ba 0.000 0.000 0.000 [2 per cell]
2 Ba 0.000 0.500 0.250 [2 per cell]
3 Al 0.000 0.000 0.500 [2 per cell]
4 Hg 0.000 0.500 0.750 [2 per cell]

Results
* crystal system: tetragonal
* energy of formation: -114 meV/atom
* mass density: 6.02 g/cm3
* size of the total moment: 0.00 μB per cell
* offset from the most stable computed form: 169.5 meV per atom
* uncorrected energy: -2.0866 eV per atom